## ReP3 (PBE)

Data for crystalline ReP3 at its relaxed geometry.

Energy of formation from the pure elements   -0.068 eV per atom
Total moment   0.00 μB per formula unit

Unit cell a=3.773 b=7.189 c=4.483 alpha=90.00 beta=90.00 gamma=90.00
Space group Imm2 (No. 44)
Symmetry-distinct sites (fractional):
Re: 0.000 0.000 0.000 [2 per cell]
P: 0.000 0.319 0.213 [4 per cell]
P: 0.000 0.500 0.823 [2 per cell]

## Ba2NaHgPd (PBE)

Data for crystalline Ba2NaHgPd at its relaxed geometry.

Energy of formation from the pure elements   -0.260 eV per atom
Total moment   0.00 μB per formula unit

Unit cell a=6.157 b=6.157 c=5.423 alpha=90.00 beta=90.00 gamma=90.00
Space group P4/mmm (No. 123)
Symmetry-distinct sites (fractional):
Ba: 0.000 0.500 0.000 [2 per cell]
Na: 0.000 0.000 0.500 [1 per cell]
Hg: 0.500 0.500 0.500 [1 per cell]
Pd: 0.000 0.000 0.000 [1 per cell]

## AlP3N (PBE)

Data for crystalline AlP3N at its relaxed geometry.

Total moment   0.00 μB per formula unit

Unit cell a=4.062 b=4.062 c=4.062 alpha=90.00 beta=90.00 gamma=90.00
Space group Pm-3m (No. 221)
Symmetry-distinct sites (fractional):
Al: 0.000 0.000 0.000 [1 per cell]
P: 0.000 0.500 0.500 [3 per cell]
N: 0.500 0.500 0.500 [1 per cell]

Here are the calculated energy numbers, same order: -7.24 -2.39 -4.88 (eV/atom).